First-principles (PBE-GGA) data for a geometry-optimized Ba2LiCaAl structure, as listed in Alexandria via LeMat-Bulk.

a b c (Å): 6.158 5.758 6.158
angles (deg): 90.00 90.00 90.00
Fractional coordinates of all 5 atoms:
1 Ba 0.500 0.000 0.000
2 Ca 0.000 0.500 0.000
3 Ba 0.000 0.000 0.500
4 Al 0.500 0.500 0.500
5 Li 0.000 0.000 0.000

## Properties
The space group is No. 123. As for the energy: -9.428 eV for the cell shown.